# MnSi2Os

An optimized crystal structure of MnSi2Os (PBE, the Alexandria database).

Unit cell a=2.887 b=2.887 c=5.735 alpha=90.00 beta=90.00 gamma=90.00
Space group P4/mmm (No. 123)
Inequivalent atoms, fractional coordinates:
Mn: 0.000 0.000 0.000
Si: 0.500 0.500 0.232
Os: 0.000 0.000 0.500

Magnetization, μB per atom: 0.000
Density, g/cm³: 10.46
Formation energy without anion corrections, eV/atom: -0.332


# MnSi2Os

An optimized crystal structure of MnSi2Os (PBE, the Alexandria database).

Unit cell a=2.8040 b=2.8040 c=22.9124 alpha=90.00 beta=90.00 gamma=120.00
Space group R3m (No. 160, hexagonal axes)
Inequivalent atoms, fractional coordinates:
Mn: 0.0000 0.0000 0.0000
Si: 0.0000 0.0000 0.2585
Si: 0.0000 0.0000 0.5040
Os: 0.0000 0.0000 0.7558

Magnetization, μB per atom: 0.060
Density, g/cm³: 9.62
Formation energy without anion corrections, eV/atom: 0.031